Material: TmGe4Pd6
Method: DFT, PBE-GGA
State: relaxed

a b c (Å): 7.4178 7.4178 3.8367
angles (deg): 90.00 90.00 120.00
Element x y z (fractional)
Tm 0.0000 0.0000 0.0000
Ge 0.3333 0.6667 0.0000
Ge 0.3776 0.1888 0.5000
Ge 0.8112 0.1888 0.5000
Ge 0.8112 0.6224 0.5000
Pd 0.1968 0.3935 0.5000
Pd 0.1968 0.8032 0.5000
Pd 0.5353 0.0707 0.0000
Pd 0.5353 0.4647 0.0000
Pd 0.6065 0.8032 0.5000
Pd 0.9293 0.4647 0.0000

SG   P-6m2, No. 187
Energy of formation   -657 meV/atom
Total energy   -5.58 eV/atom
DOS at the Fermi energy   0.39 states/eV/atom


Material: TmGe2Pd4
Method: DFT, PBE-GGA
State: relaxed

a b c (Å): 17.0575 4.2009 6.6915
angles (deg): 90.00 90.00 90.00
Element x y z (fractional)
Tm 0.1395 0.2500 0.0010
Tm 0.3605 0.7500 0.5010
Tm 0.6395 0.2500 0.4990
Tm 0.8605 0.7500 0.9990
Ge 0.0439 0.7500 0.7386
Ge 0.2212 0.2500 0.5032
Ge 0.2788 0.7500 0.0032
Ge 0.4561 0.2500 0.2386
Ge 0.5439 0.7500 0.7614
Ge 0.7212 0.2500 0.9968
Ge 0.7788 0.7500 0.4968
Ge 0.9561 0.2500 0.2614
Pd 0.0263 0.7500 0.1370
Pd 0.0732 0.2500 0.4930
Pd 0.1861 0.7500 0.2915
Pd 0.1915 0.7500 0.7108
Pd 0.3085 0.2500 0.2108
Pd 0.3139 0.2500 0.7915
Pd 0.4268 0.7500 0.9930
Pd 0.4737 0.2500 0.6370
Pd 0.5263 0.7500 0.3630
Pd 0.5732 0.2500 0.0070
Pd 0.6861 0.7500 0.2085
Pd 0.6915 0.7500 0.7892
Pd 0.8085 0.2500 0.2892
Pd 0.8139 0.2500 0.7085
Pd 0.9268 0.7500 0.5070
Pd 0.9737 0.2500 0.8630

SG   Pnma, No. 62
Energy of formation   -690 meV/atom
Total energy   -5.62 eV/atom
DOS at the Fermi energy   0.49 states/eV/atom
ΔE to the lowest computed polymorph   11 meV per atom


Material: Tm4Ge6Pd5
Method: DFT, PBE-GGA
State: relaxed

a b c (Å): 9.7667 9.7667 14.7894
angles (deg): 90.00 90.00 155.55
Element x y z (fractional)
Tm 0.0142 0.9858 0.5000
Tm 0.0346 0.9654 0.7631
Tm 0.1608 0.8392 0.3024
Tm 0.1773 0.8227 0.9363
Tm 0.8227 0.1773 0.4363
Tm 0.8392 0.1608 0.8024
Tm 0.9654 0.0346 0.2631
Tm 0.9858 0.0142 0.0000
Ge 0.1130 0.8870 0.1117
Ge 0.2230 0.7770 0.4848
Ge 0.2344 0.7656 0.7533
Ge 0.4226 0.5774 0.1254
Ge 0.4272 0.5728 0.4043
Ge 0.4450 0.5550 0.8526
Ge 0.5550 0.4450 0.3526
Ge 0.5728 0.4272 0.9043
Ge 0.5774 0.4226 0.6254
Ge 0.7656 0.2344 0.2533
Ge 0.7770 0.2230 0.9848
Ge 0.8870 0.1130 0.6117
Pd 0.1508 0.8492 0.6237
Pd 0.3065 0.6935 0.6153
Pd 0.3410 0.6590 0.2705
Pd 0.3541 0.6459 0.9756
Pd 0.4492 0.5508 0.6742
Pd 0.5508 0.4492 0.1742
Pd 0.6459 0.3541 0.4756
Pd 0.6590 0.3410 0.7705
Pd 0.6935 0.3065 0.1153
Pd 0.8492 0.1508 0.1237

SG   Cmc2_1, No. 36
Energy of formation   -747 meV/atom
Total energy   -5.52 eV/atom
DOS at the Fermi energy   0.50 states/eV/atom


Material: Tm3Ge6Pd20
Method: DFT, PBE-GGA
State: relaxed

a b c (Å): 8.8151 8.8151 8.8151
angles (deg): 60.00 60.00 60.00
Element x y z (fractional)
Tm 0.0000 0.0000 0.0000
Tm 0.2500 0.2500 0.2500
Tm 0.7500 0.7500 0.7500
Ge 0.2697 0.2697 0.7303
Ge 0.2697 0.7303 0.2697
Ge 0.2697 0.7303 0.7303
Ge 0.7303 0.2697 0.2697
Ge 0.7303 0.2697 0.7303
Ge 0.7303 0.7303 0.2697
Pd 0.0000 0.0000 0.3459
Pd 0.0000 0.0000 0.6541
Pd 0.0000 0.3459 0.0000
Pd 0.0000 0.3459 0.6541
Pd 0.0000 0.6541 0.0000
Pd 0.0000 0.6541 0.3459
Pd 0.1396 0.6201 0.6201
Pd 0.3459 0.0000 0.0000
Pd 0.3459 0.0000 0.6541
Pd 0.3459 0.6541 0.0000
Pd 0.3799 0.3799 0.3799
Pd 0.3799 0.3799 0.8604
Pd 0.3799 0.8604 0.3799
Pd 0.6201 0.1396 0.6201
Pd 0.6201 0.6201 0.1396
Pd 0.6201 0.6201 0.6201
Pd 0.6541 0.0000 0.0000
Pd 0.6541 0.0000 0.3459
Pd 0.6541 0.3459 0.0000
Pd 0.8604 0.3799 0.3799

SG   Fm-3m, No. 225
Energy of formation   -672 meV/atom
Total energy   -5.67 eV/atom
DOS at the Fermi energy   0.24 states/eV/atom


Material: Tm2Ge5Pd3
Method: DFT, PBE-GGA
State: relaxed

a b c (Å): 12.3532 12.3532 6.9724
angles (deg): 90.00 90.00 159.79
Element x y z (fractional)
Tm 0.0202 0.9798 0.5000
Tm 0.3259 0.6741 0.5035
Tm 0.6741 0.3259 0.0035
Tm 0.9798 0.0202 0.0000
Ge 0.1024 0.8976 0.8493
Ge 0.2042 0.7958 0.3193
Ge 0.2114 0.7886 0.7333
Ge 0.3820 0.6180 0.9735
Ge 0.4532 0.5468 0.6689
Ge 0.5468 0.4532 0.1689
Ge 0.6180 0.3820 0.4735
Ge 0.7886 0.2114 0.2333
Ge 0.7958 0.2042 0.8193
Ge 0.8976 0.1024 0.3493
Pd 0.1048 0.8952 0.2220
Pd 0.2770 0.7230 0.0382
Pd 0.4451 0.5549 0.2820
Pd 0.5549 0.4451 0.7820
Pd 0.7230 0.2770 0.5382
Pd 0.8952 0.1048 0.7220

SG   Cmc2_1, No. 36
Energy of formation   -645 meV/atom
Total energy   -5.41 eV/atom
DOS at the Fermi energy   0.43 states/eV/atom
ΔE to the lowest computed polymorph   0 meV per atom


Material: Tm2GePd
Method: DFT, PBE-GGA
State: relaxed

a b c (Å): 5.7548 4.2973 7.6443
angles (deg): 90.00 110.36 90.00
Element x y z (fractional)
Tm 0.2164 0.2500 0.4384
Tm 0.2232 0.2500 0.9168
Tm 0.7768 0.7500 0.0832
Tm 0.7836 0.7500 0.5616
Ge 0.3232 0.7500 0.2062
Ge 0.6768 0.2500 0.7938
Pd 0.3496 0.7500 0.7108
Pd 0.6504 0.2500 0.2892

SG   P2_1/m, No. 11
Energy of formation   -911 meV/atom
Total energy   -5.60 eV/atom
DOS at the Fermi energy   0.26 states/eV/atom


Material: Tm6GePd5
Method: DFT, PBE-GGA
State: relaxed

a b c (Å): 8.5004 8.5004 8.5004
angles (deg): 146.49 131.64 60.11
Element x y z (fractional)
Tm 0.0809 0.3321 0.7488
Tm 0.2457 0.0000 0.2457
Tm 0.4167 0.6679 0.7488
Tm 0.5833 0.3321 0.2512
Tm 0.7543 0.0000 0.7543
Tm 0.9191 0.6679 0.2512
Ge 0.5000 0.5000 0.0000
Pd 0.0000 0.5000 0.5000
Pd 0.1673 0.1673 0.0000
Pd 0.3355 0.8355 0.5000
Pd 0.6645 0.1645 0.5000
Pd 0.8327 0.8327 0.0000

SG   Immm, No. 71
Energy of formation   -908 meV/atom
Total energy   -5.69 eV/atom
DOS at the Fermi energy   0.58 states/eV/atom


Material: TmGePd
Method: DFT, PBE-GGA
State: relaxed

a b c (Å): 11.2399 11.2399 11.2399
angles (deg): 157.53 45.89 140.53
Element x y z (fractional)
Tm 0.0000 0.0000 0.0000
Tm 0.2403 0.0736 0.1667
Tm 0.3304 0.9975 0.3329
Tm 0.5794 0.0794 0.5000
Tm 0.6645 0.9975 0.6671
Tm 0.9070 0.0736 0.8333
Ge 0.3139 0.3795 0.9344
Ge 0.4451 0.3795 0.0656
Ge 0.4571 0.6937 0.7633
Ge 0.7849 0.3767 0.4082
Ge 0.9304 0.6937 0.2367
Ge 0.9686 0.3767 0.5918
Pd 0.0973 0.3645 0.7328
Pd 0.1368 0.7096 0.4272
Pd 0.2824 0.7096 0.5728
Pd 0.6012 0.7061 0.8952
Pd 0.6317 0.3645 0.2672
Pd 0.8109 0.7061 0.1048

SG   Imm2, No. 44
Energy of formation   -983 meV/atom
Total energy   -5.74 eV/atom
DOS at the Fermi energy   0.33 states/eV/atom


Material: Tm2Ge3Pd5
Method: DFT, PBE-GGA
State: relaxed

a b c (Å): 12.2633 12.2633 6.7834
angles (deg): 90.00 90.00 159.90
Element x y z (fractional)
Tm 0.0226 0.9774 0.5000
Tm 0.3251 0.6749 0.5540
Tm 0.6749 0.3251 0.0540
Tm 0.9774 0.0226 0.0000
Ge 0.1190 0.8810 0.7399
Ge 0.2754 0.7246 0.1021
Ge 0.4529 0.5471 0.7130
Ge 0.5471 0.4529 0.2130
Ge 0.7246 0.2754 0.6021
Ge 0.8810 0.1190 0.2399
Pd 0.0965 0.9035 0.1157
Pd 0.1981 0.8019 0.3731
Pd 0.2220 0.7780 0.7972
Pd 0.3772 0.6228 0.9896
Pd 0.4441 0.5559 0.3372
Pd 0.5559 0.4441 0.8372
Pd 0.6228 0.3772 0.4896
Pd 0.7780 0.2220 0.2972
Pd 0.8019 0.1981 0.8731
Pd 0.9035 0.0965 0.6157

SG   Cmc2_1, No. 36
Energy of formation   -791 meV/atom
Total energy   -5.67 eV/atom
DOS at the Fermi energy   0.41 states/eV/atom
ΔE to the lowest computed polymorph   0 meV per atom


Material: Tm2Ge3Pd9
Method: DFT, PBE-GGA
State: relaxed

a b c (Å): 7.7353 7.7353 10.0400
angles (deg): 112.34 112.34 60.20
Element x y z (fractional)
Tm 0.0845 0.2551 0.2505
Tm 0.2551 0.0845 0.7505
Tm 0.7449 0.9155 0.2495
Tm 0.9155 0.7449 0.7495
Ge 0.0000 0.5000 0.0000
Ge 0.1526 0.6754 0.5011
Ge 0.3246 0.8474 0.9989
Ge 0.5000 0.0000 0.5000
Ge 0.6754 0.1526 0.0011
Ge 0.8474 0.3246 0.4989
Pd 0.0162 0.8693 0.0794
Pd 0.1307 0.9838 0.4206
Pd 0.1828 0.3613 0.5788
Pd 0.2070 0.5793 0.2524
Pd 0.3037 0.4830 0.9422
Pd 0.3613 0.1828 0.0788
Pd 0.3683 0.6317 0.7500
Pd 0.4207 0.7930 0.2476
Pd 0.4830 0.3037 0.4422
Pd 0.5170 0.6963 0.5578
Pd 0.5793 0.2070 0.7524
Pd 0.6317 0.3683 0.2500
Pd 0.6387 0.8172 0.9212
Pd 0.6963 0.5170 0.0578
Pd 0.7930 0.4207 0.7476
Pd 0.8172 0.6387 0.4212
Pd 0.8693 0.0162 0.5794
Pd 0.9838 0.1307 0.9206

SG   C2/c, No. 15
Energy of formation   -744 meV/atom
Total energy   -5.71 eV/atom
DOS at the Fermi energy   0.54 states/eV/atom


Material: TmGePd
Method: DFT, PBE-GGA
State: relaxed

a b c (Å): 4.3978 4.3978 3.4707
angles (deg): 90.00 90.00 120.00
Element x y z (fractional)
Tm 0.0000 0.0000 0.0000
Ge 0.6667 0.3333 0.5000
Pd 0.3333 0.6667 0.5000

SG   P-6m2, No. 187
Energy of formation   -952 meV/atom
Total energy   -5.71 eV/atom
DOS at the Fermi energy   0.38 states/eV/atom


Material: Tm2GePd
Method: DFT, PBE-GGA
State: relaxed

a b c (Å): 4.8341 4.8341 3.6513
angles (deg): 90.00 90.00 90.00
Element x y z (fractional)
Tm 0.0000 0.5000 0.0000
Tm 0.5000 0.0000 0.0000
Ge 0.0000 0.0000 0.5000
Pd 0.5000 0.5000 0.5000

SG   P4/mmm, No. 123
Energy of formation   -818 meV/atom
Total energy   -5.51 eV/atom
DOS at the Fermi energy   0.42 states/eV/atom